[1]
Below is PdSe2 after structural relaxation, with properties calculated at the PBE level.

abc: 3.5195 3.5195 11.3709
angles: 90.00 90.00 120.00
Last column: nearest neighbours and their distance in Å.
Space group P6_3/mmc (No. 194)
Asymmetric unit:
Pd 0.3333 0.6667 0.2500 x2  6 Se 2.57
Se 0.3333 0.6667 0.6122 x4  3 Pd 2.57

Final energy ... -4.068 eV/atom
Density ... 7.20 g/cm3



[2]
Below is PdSe2 after structural relaxation, with properties calculated at the PBE level.

abc: 2.9943 2.9943 12.8918
angles: 90.00 90.00 90.00
Last column: nearest neighbours and their distance in Å.
Space group I4/mmm (No. 139)
Asymmetric unit:
Pd 0.0000 0.0000 0.0000 x2  8 Se 2.77, 4 Pd 2.99
Se 0.0000 0.0000 0.3619 x4  4 Pd 2.77, 4 Se 2.99

Final energy ... -3.937 eV/atom
Density ... 7.60 g/cm3